[1]
The following is a DFT calculation (PBE) of crystalline SnS2 at its relaxed geometry.

Computed properties:
SG: P6_3mc (186)
formation energy (no corrections): -380 meV per atom
D(E_F): 0.0000 states/eV/atom

Lattice parameters (Å, degrees): 3.694 3.694 13.352 90.00 90.00 120.00
Positions (direct):
S 0.000 0.000 0.014
S 0.667 0.333 0.736
S 0.333 0.667 0.236
S 0.000 0.000 0.514
Sn 0.333 0.667 0.625
Sn 0.667 0.333 0.125

---

[2]
The following is a DFT calculation (PBE) of crystalline LiTl2HgI6 at its relaxed geometry.

Computed properties:
SG: P1 (1)
formation energy (no corrections): -516 meV per atom
D(E_F): 0.5895 states/eV/atom

Lattice parameters (Å, degrees): 9.140 8.721 8.988 55.64 62.10 49.97
Positions (direct):
Li 0.232 0.293 0.011
I 0.633 0.114 0.816
I 0.249 0.903 0.241
I 0.075 0.470 0.711
I 0.460 0.735 0.719
I 0.648 0.219 0.282
I 0.006 0.534 0.225
Hg 0.720 0.865 0.630
Tl 0.622 0.521 0.417
Tl 0.018 0.006 0.962

---

[3]
The following is a DFT calculation (PBE) of crystalline TaTl2Br at its relaxed geometry.

Computed properties:
SG: R-3m (166)
formation energy (no corrections): 483 meV per atom
D(E_F): 0.7494 states/eV/atom
polymorph energy (0 for the lowest one): 419 meV/atom

Lattice parameters (Å, degrees): 9.714 9.714 9.714 20.24 20.24 20.24
Positions (direct):
Br 0.250 0.250 0.250
Tl 0.003 0.003 0.003
Tl 0.497 0.497 0.497
Ta 0.750 0.750 0.750